[1]
Ho3Mg3Zn2Ir | GGA-PBE | optimized geometry

The value obtained for the total energy is -3.681 eV/atom.

The structure belongs to space group P-62m (No. 189); the cell edges are 7.3072, 7.3072 and 4.2934 Å and the angles 90.00°, 90.00° and 120.00°. The asymmetric unit holds Ho at (0.0000, 0.3979, 0.0000), Mg at (0.0000, 0.7622, 0.5000), Zn at (0.3333, 0.6667, 0.5000) and Ir at (0.0000, 0.0000, 0.0000).



[2]
NaPr | GGA-PBE | optimized geometry

Its energy above the most stable polymorph in this dataset is 490 meV per atom. The value obtained for the total energy is -2.366 eV/atom.

The structure belongs to space group Fm-3m (No. 225); the cell edges are 6.606, 6.606 and 6.606 Å and the angles 90.00°, 90.00° and 90.00°. The asymmetric unit holds Na at (0.000, 0.000, 0.000) and Pr at (0.000, 0.000, 0.500).



[3]
Cd2Fe3 | GGA-PBE | optimized geometry

The value obtained for the total energy is -4.635 eV/atom.

The structure belongs to space group R-3c (No. 167, hexagonal axes); the cell edges are 6.4086, 6.4086 and 14.6029 Å and the angles 90.00°, 90.00° and 120.00°. The asymmetric unit holds Cd at (0.0000, 0.0000, 0.0907) and Fe at (0.0000, 0.2105, 0.2500).



[4]
KSmGd | GGA-PBE | optimized geometry

Its energy above the most stable polymorph in this dataset is 0 meV per atom. The value obtained for the total energy is -2.322 eV/atom.

The structure belongs to space group F-43m (No. 216); the cell edges are 8.379, 8.379 and 8.379 Å and the angles 90.00°, 90.00° and 90.00°. The asymmetric unit holds K at (0.000, 0.000, 0.000), Sm at (0.250, 0.250, 0.750) and Gd at (0.000, 0.000, 0.500).



[5]
IrCl3 | GGA-PBE | optimized geometry

The value obtained for the total energy is -4.073 eV/atom.

The structure belongs to space group P-31c (No. 163); the cell edges are 6.1138, 6.1138 and 11.3114 Å and the angles 90.00°, 90.00° and 120.00°. The asymmetric unit holds Ir at (0.0000, 0.0000, 0.2500), Ir at (0.3333, 0.6667, 0.2500) and Cl at (0.0184, 0.3336, 0.1361).



[6]
LaPrCuSi3 | GGA-PBE | optimized geometry

Its energy above the most stable polymorph in this dataset is 0 meV per atom. The value obtained for the total energy is -5.699 eV/atom.

The structure belongs to space group Fmmm (No. 69); the cell edges are 8.160, 8.765 and 14.108 Å and the angles 90.00°, 90.00° and 90.00°. The asymmetric unit holds La at (0.000, 0.243, 0.000), Pr at (0.250, 0.250, 0.250), Cu at (0.000, 0.000, 0.334), Si at (0.000, 0.000, 0.169) and Si at (0.246, 0.000, 0.416).